Arrangement 1

{
  "formula": "KRbSb",
  "functional": "PBE",
  "state": "optimized geometry",
  "crystal_system": "trigonal",
  "lattice": [[5.940, 0.000, 0.000], [-2.970, 5.148, -0.005], [0.000, 0.007, 8.010]],
  "species": ["Rb", "Rb", "K", "K", "Sb", "Sb"],
  "frac_coords": [[0.333, 0.667, 0.909], [0.667, 0.333, 0.091], [0.667, 0.333, 0.558], [0.333, 0.667, 0.442], [0.000, 0.000, 0.690], [0.000, 0.000, 0.310]]
}

Arrangement 2

{
  "formula": "KRbSb",
  "functional": "PBE",
  "state": "optimized geometry",
  "crystal_system": "cubic",
  "lattice": [[-4.761, 3.506, 1.456], [-4.873, 0.186, -3.648], [-5.234, -2.556, 1.777]],
  "species": ["Rb", "Sb", "K"],
  "frac_coords": [[0.000, 0.000, 0.000], [0.250, 0.250, 0.250], [0.500, 0.500, 0.500]]
}

Arrangement 3

{
  "formula": "KRbSb",
  "functional": "PBE",
  "state": "optimized geometry",
  "crystal_system": "tetragonal",
  "lattice": [[4.680, 0.000, 0.000], [0.000, 4.680, 0.000], [-2.340, -2.340, 5.820]],
  "species": ["Rb", "Sb", "K"],
  "frac_coords": [[0.938, 0.938, 0.877], [0.277, 0.277, 0.554], [0.635, 0.635, 0.269]]
}

Most stable structure, least stable structure: arrangement 1, arrangement 2.

Arrangement 1

{
  "formula": "KRbSb",
  "functional": "PBE",
  "state": "optimized geometry",
  "crystal_system": "hexagonal",
  "lattice": [[6.257, 0.000, 0.000], [3.128, 5.419, 0.000], [0.000, 0.000, 9.635]],
  "species": ["Sb", "Sb", "K", "K", "Rb", "Rb"],
  "frac_coords": [[0.822, 0.227, 0.439], [0.822, 0.227, 0.139], [0.488, 0.894, 0.289], [0.822, 0.227, 0.789], [0.155, 0.561, 0.516], [0.155, 0.561, 0.063]]
}

Arrangement 2

{
  "formula": "KRbSb",
  "functional": "PBE",
  "state": "optimized geometry",
  "crystal_system": "monoclinic",
  "lattice": [[-5.653, 0.026, 2.529], [-5.013, -0.524, -3.617], [-3.258, -8.121, 0.384]],
  "species": ["K", "K", "Rb", "Rb", "Sb", "Sb"],
  "frac_coords": [[0.706, 0.708, 0.881], [0.294, 0.292, 0.119], [0.866, 0.864, 0.405], [0.134, 0.136, 0.595], [0.437, 0.439, 0.687], [0.563, 0.561, 0.313]]
}

Most stable structure, least stable structure: arrangement 2, arrangement 1.

Arrangement 1

{
  "formula": "KRb2Sb2",
  "functional": "PBE",
  "state": "optimized geometry",
  "crystal_system": "monoclinic",
  "lattice": [[7.087, 0.000, 0.000], [-3.544, 6.471, 0.166], [0.000, -2.709, 10.005]],
  "species": ["K", "K", "Sb", "Sb", "Sb", "Sb", "Rb", "Rb", "Rb", "Rb"],
  "frac_coords": [[0.133, 0.000, 0.750], [0.867, 0.000, 0.250], [0.015, 0.697, 0.999], [0.985, 0.303, 0.001], [0.683, 0.697, 0.499], [0.317, 0.303, 0.501], [0.493, 0.305, 0.149], [0.811, 0.305, 0.649], [0.189, 0.695, 0.351], [0.507, 0.695, 0.851]]
}

Arrangement 2

{
  "formula": "KRb2Sb2",
  "functional": "PBE",
  "state": "optimized geometry",
  "crystal_system": "tetragonal",
  "lattice": [[5.605, 0.000, 0.000], [0.000, 5.605, 0.000], [2.802, 2.802, 7.604]],
  "species": ["Sb", "Sb", "Rb", "Rb", "K"],
  "frac_coords": [[0.409, 0.409, 0.182], [0.591, 0.591, 0.818], [0.750, 0.250, 0.500], [0.250, 0.750, 0.500], [0.000, 0.000, 0.000]]
}

Most stable structure, least stable structure: arrangement 1, arrangement 2.

Arrangement 1

{
  "formula": "KRb2Sb2",
  "functional": "PBE",
  "state": "optimized geometry",
  "crystal_system": "tetragonal",
  "lattice": [[-4.154, -4.984, -7.268], [8.764, -1.496, -3.983], [0.436, -3.899, 2.424]],
  "species": ["Sb", "Sb", "Sb", "Sb", "Rb", "Rb", "Rb", "Rb", "K", "K"],
  "frac_coords": [[0.896, 0.396, 0.500], [0.604, 0.896, 0.500], [0.396, 0.104, 0.500], [0.104, 0.604, 0.500], [0.320, 0.820, 0.000], [0.680, 0.180, 0.000], [0.180, 0.320, 0.000], [0.820, 0.680, 0.000], [0.500, 0.500, 0.000], [0.000, 0.000, 0.000]]
}

Arrangement 2

{
  "formula": "KRb2Sb2",
  "functional": "PBE",
  "state": "optimized geometry",
  "crystal_system": "tetragonal",
  "lattice": [[-4.669, -2.482, -3.007], [-3.000, -0.711, 5.245], [-6.510, 4.319, 0.390]],
  "species": ["Sb", "Sb", "Rb", "Rb", "K"],
  "frac_coords": [[0.250, 0.750, 0.500], [0.750, 0.250, 0.500], [0.627, 0.627, 0.746], [0.373, 0.373, 0.254], [0.000, 0.000, 0.000]]
}

Most stable structure, least stable structure: arrangement 1, arrangement 2.

Arrangement 1

{
  "formula": "K2Rb2Sb",
  "functional": "PBE",
  "state": "optimized geometry",
  "crystal_system": "tetragonal",
  "lattice": [[9.246, 0.000, 0.000], [0.000, 9.246, 0.000], [0.000, 0.000, 6.732]],
  "species": ["Rb", "Rb", "Rb", "Rb", "Sb", "Sb", "K", "K", "K", "K"],
  "frac_coords": [[0.644, 0.144, 0.000], [0.356, 0.856, 0.000], [0.856, 0.644, 0.000], [0.144, 0.356, 0.000], [0.000, 0.000, 0.000], [0.500, 0.500, 0.000], [0.299, 0.201, 0.500], [0.799, 0.299, 0.500], [0.201, 0.701, 0.500], [0.701, 0.799, 0.500]]
}

Arrangement 2

{
  "formula": "K2Rb2Sb",
  "functional": "PBE",
  "state": "optimized geometry",
  "crystal_system": "orthorhombic",
  "lattice": [[6.599, 0.000, 0.000], [0.000, 8.323, 0.000], [0.000, 0.000, 10.589]],
  "species": ["K", "K", "K", "K", "Rb", "Rb", "Rb", "Rb", "Sb", "Sb"],
  "frac_coords": [[0.000, 0.140, 0.320], [0.000, 0.860, 0.680], [0.000, 0.360, 0.820], [0.000, 0.640, 0.180], [0.500, 0.709, 0.417], [0.500, 0.291, 0.583], [0.500, 0.791, 0.917], [0.500, 0.209, 0.083], [0.000, 0.500, 0.500], [0.000, 0.000, 0.000]]
}

Arrangement 3

{
  "formula": "K2Rb2Sb",
  "functional": "PBE",
  "state": "optimized geometry",
  "crystal_system": "tetragonal",
  "lattice": [[9.037, 0.000, 0.000], [0.000, 9.037, 0.000], [0.000, 0.000, 6.785]],
  "species": ["K", "K", "K", "K", "Rb", "Rb", "Rb", "Rb", "Sb", "Sb"],
  "frac_coords": [[0.349, 0.849, 0.000], [0.849, 0.651, 0.000], [0.151, 0.349, 0.000], [0.651, 0.151, 0.000], [0.296, 0.204, 0.500], [0.204, 0.704, 0.500], [0.796, 0.296, 0.500], [0.704, 0.796, 0.500], [0.500, 0.500, 0.000], [0.000, 0.000, 0.000]]
}

Most stable structure, least stable structure: arrangement 2, arrangement 1.

Arrangement 1

{
  "formula": "KRbSb2Te",
  "functional": "PBE",
  "state": "optimized geometry",
  "crystal_system": "tetragonal",
  "lattice": [[-3.362, -4.171, -3.183], [4.881, -1.098, -3.716], [1.986, -4.636, 3.978]],
  "species": ["Te", "K", "Sb", "Sb", "Rb"],
  "frac_coords": [[0.000, 0.000, 0.500], [0.500, 0.500, 0.500], [0.500, 0.000, 0.000], [0.000, 0.500, 0.000], [0.000, 0.000, 0.000]]
}

Arrangement 2

{
  "formula": "KRbSb2Te",
  "functional": "PBE",
  "state": "optimized geometry",
  "crystal_system": "tetragonal",
  "lattice": [[-1.160, 1.469, 5.764], [-5.947, -0.424, -1.089], [0.142, -6.002, 1.558]],
  "species": ["Rb", "Sb", "Sb", "K", "Te"],
  "frac_coords": [[0.500, 0.500, 0.500], [0.000, 0.500, 0.000], [0.500, 0.000, 0.000], [0.000, 0.000, 0.000], [0.000, 0.000, 0.500]]
}

Most stable structure, least stable structure: arrangement 2, arrangement 1.

Arrangement 1

{
  "formula": "KRb3Sc",
  "functional": "PBE",
  "state": "optimized geometry",
  "crystal_system": "cubic",
  "lattice": [[7.535, 0.000, 0.000], [0.000, 7.535, 0.000], [0.000, 0.000, 7.535]],
  "species": ["K", "Rb", "Rb", "Rb", "Sc"],
  "frac_coords": [[0.500, 0.500, 0.500], [0.500, 0.000, 0.000], [0.000, 0.500, 0.000], [0.000, 0.000, 0.500], [0.000, 0.000, 0.000]]
}

Arrangement 2

{
  "formula": "KRb3Sc",
  "functional": "PBE",
  "state": "optimized geometry",
  "crystal_system": "cubic",
  "lattice": [[7.480, 0.000, 0.000], [0.000, 7.480, 0.000], [0.000, 0.000, 7.480]],
  "species": ["Rb", "Rb", "Rb", "K", "Sc"],
  "frac_coords": [[0.500, 0.000, 0.000], [0.000, 0.500, 0.000], [0.000, 0.000, 0.500], [0.000, 0.000, 0.000], [0.500, 0.500, 0.500]]
}

Most stable structure, least stable structure: arrangement 1, arrangement 2.

Arrangement 1

{
  "formula": "KRb2Sc",
  "functional": "PBE",
  "state": "optimized geometry",
  "crystal_system": "tetragonal",
  "lattice": [[11.033, 0.000, 0.000], [0.000, 11.033, 0.000], [5.516, 5.516, 4.138]],
  "species": ["Rb", "Rb", "Rb", "Rb", "K", "K", "Sc", "Sc"],
  "frac_coords": [[0.875, 0.884, 0.750], [0.116, 0.625, 0.250], [0.375, 0.366, 0.750], [0.634, 0.125, 0.250], [0.500, 0.500, 0.000], [0.250, 0.750, 0.500], [0.750, 0.250, 0.500], [0.000, 0.000, 0.000]]
}

Arrangement 2

{
  "formula": "KRb2Sc",
  "functional": "PBE",
  "state": "optimized geometry",
  "crystal_system": "cubic",
  "lattice": [[0.000, 4.950, 4.950], [4.950, 0.000, 4.950], [4.950, 4.950, 0.000]],
  "species": ["Rb", "Rb", "K", "Sc"],
  "frac_coords": [[0.250, 0.250, 0.250], [0.750, 0.750, 0.750], [0.000, 0.000, 0.000], [0.500, 0.500, 0.500]]
}

Most stable structure, least stable structure: arrangement 2, arrangement 1.